Entry 1:
## HfZrNi (PBE)

Data for HfZrNi after structural relaxation.

Its space group is No. 70.

Cell: 10.118 9.440 5.258 Å, 81.67 67.39 30.94°
Sites, in units of the cell vectors:
Hf  0.044  0.706  0.044
Hf  0.294  0.956  0.294
Hf  0.706  0.044  0.706
Hf  0.956  0.294  0.956
Zr  0.294  0.294  0.456
Zr  0.456  0.456  0.294
Zr  0.544  0.544  0.706
Zr  0.706  0.706  0.544
Ni  0.001  0.001  0.249
Ni  0.249  0.249  0.001
Ni  0.751  0.751  0.999
Ni  0.999  0.999  0.751

Entry 2:
## Hf2ZrNi (PBE)

Data for Hf2ZrNi after structural relaxation.

Its space group is No. 225.

Cell: 6.707 6.707 6.707 Å, 90.00 90.00 90.00°
Sites, in units of the cell vectors:
Hf  0.250  0.250  0.250
Hf  0.250  0.250  0.750
Hf  0.250  0.750  0.250
Hf  0.250  0.750  0.750
Hf  0.750  0.250  0.250
Hf  0.750  0.250  0.750
Hf  0.750  0.750  0.250
Hf  0.750  0.750  0.750
Zr  0.000  0.000  0.000
Zr  0.000  0.500  0.500
Zr  0.500  0.000  0.500
Zr  0.500  0.500  0.000
Ni  0.000  0.000  0.500
Ni  0.000  0.500  0.000
Ni  0.500  0.000  0.000
Ni  0.500  0.500  0.500

Entry 3:
## HfZrNi (PBE)

Data for HfZrNi after structural relaxation.

Its space group is No. 70.

Cell: 10.617 9.943 5.163 Å, 82.84 68.31 28.85°
Sites, in units of the cell vectors:
Hf  0.046  0.046  0.204
Hf  0.204  0.204  0.046
Hf  0.796  0.796  0.954
Hf  0.954  0.954  0.796
Zr  0.208  0.542  0.208
Zr  0.458  0.792  0.458
Zr  0.542  0.208  0.542
Zr  0.792  0.458  0.792
Ni  0.250  0.250  0.500
Ni  0.500  0.500  0.250
Ni  0.500  0.500  0.750
Ni  0.750  0.750  0.500

Calculated values (eV for the cell shown) of raw total energy for the records, taken in order: -100.970; -135.852; -101.085.
Calculated values (eV/atom) of energy relative to the elements for the records, taken in order: -0.320; 0.068; -0.329.